Record 1
## Be3GaC (PBE)

Data for a relaxed Be3GaC crystal.

Cell: 3.6618 3.6618 3.6618 Å, 90.00 90.00 90.00°
Last column: nearest neighbours and their distance in Å.
Space group Pm-3m (No. 221)
Asymmetric unit:
Be 0.0000 0.0000 0.5000 [3 per cell]  2 C 1.83
Ga 0.5000 0.5000 0.5000 [1 per cell]  12 Be 2.59
C 0.0000 0.0000 0.0000 [1 per cell]  6 Be 1.83

Summary:
Polymorph energy (0 for the lowest one): 0.0 meV per atom
Magnetic moment: 0.00 μB per atom
Total energy: -4.324 eV/atom
ρ: 3.68 g cm⁻³
Energy relative to the elements: 0.362 eV per atom

---

Record 2
## K4Ac3GaO8 (PBE)

Data for a relaxed K4Ac3GaO8 crystal.

Cell: 13.4426 7.2545 7.4816 Å, 90.00 120.65 90.00°
Last column: nearest neighbours and their distance in Å.
Space group C2/m (No. 12)
Asymmetric unit:
K 0.0000 0.0000 0.0000 [2 per cell]  2 O 2.55
K 0.0000 0.5000 0.0000 [2 per cell]  4 O 2.80
K 0.2500 0.2500 0.0000 [4 per cell]  4 O 2.76-2.82
Ac 0.0000 0.0000 0.5000 [2 per cell]  6 O 2.50-2.59
Ac 0.2500 0.2500 0.5000 [4 per cell]  6 O 2.46-2.64
Ga 0.0000 0.5000 0.5000 [2 per cell]  4 O 2.01
O 0.0262 0.3004 0.3423 [8 per cell]  1 Ga 2.01
O 0.2158 0.0000 0.6957 [4 per cell]  3 Ac 2.50-2.52, 2 K 2.76
O 0.2174 0.0000 0.2539 [4 per cell]  2 Ac 2.46, 1 K 2.55

Summary:
Uncorrected formation energy: -2.2301 eV/atom
Magnetic moment: 0.00 μB per atom
Total energy: -5.943 eV/atom
ρ: 5.48 g cm⁻³

---

Record 3
## HoErMgTl (PBE)

Data for a relaxed HoErMgTl crystal.

Cell: 7.5022 7.5022 7.5022 Å, 90.00 90.00 90.00°
Last column: nearest neighbours and their distance in Å.
Space group F-43m (No. 216)
Asymmetric unit:
Ho 0.0000 0.0000 0.0000 [4 per cell]  4 Tl 3.25, 4 Mg 3.25
Er 0.0000 0.0000 0.5000 [4 per cell]  4 Tl 3.25, 4 Mg 3.25
Mg 0.2500 0.2500 0.7500 [4 per cell]  4 Ho 3.25, 4 Er 3.25
Tl 0.2500 0.2500 0.2500 [4 per cell]  4 Ho 3.25, 4 Er 3.25

Summary:
Magnetic moment: 0.00 μB per atom
Total energy: -3.490 eV/atom
ρ: 8.82 g cm⁻³
Energy relative to the elements: -0.215 eV per atom